1.
Density functional theory data (PBE-GGA) for a geometry-optimized Sr2PPb2 structure.

Geometry as POSCAR:
```
Sr2PPb2
1.0
-4.1847 -5.4642 4.0588
6.1890 -5.0376 -0.4010
1.7791 1.8423 4.3145
Pb Sr P
4 4 2
Direct
0.3615 0.8615 0.0000 Pb
0.8615 0.6385 0.0000 Pb
0.6385 0.1385 0.0000 Pb
0.1385 0.3615 0.0000 Pb
0.1715 0.6715 0.5000 Sr
0.6715 0.8285 0.5000 Sr
0.8285 0.3285 0.5000 Sr
0.3285 0.1715 0.5000 Sr
0.0000 0.0000 0.0000 P
0.5000 0.5000 0.0000 P
```

## Properties
- Magnetic moment: 0.00 μB/f.u.
- Formation enthalpy at 0 K: -0.33 eV/atom
- Mass density: 6.43 g/cm3

***

2.
Density functional theory data (PBE-GGA) for a geometry-optimized AlBPbO4 structure.

Geometry as POSCAR:
```
AlBPbO4
1.0
-0.6140 -6.3536 -3.3746
9.4577 -0.2819 -1.1899
0.9547 -4.7163 8.7061
Al B Pb O
8 8 8 32
Direct
0.5000 0.0000 0.5000 Al
0.0000 0.2500 0.1655 Al
0.0000 0.7500 0.8345 Al
0.5000 0.2500 0.6655 Al
0.0000 0.0000 0.0000 Al
0.5000 0.7500 0.3345 Al
0.5000 0.5000 0.5000 Al
0.0000 0.5000 0.0000 Al
0.2205 0.7481 0.0945 B
0.2795 0.7481 0.5944 B
0.2795 0.2481 0.4056 B
0.2205 0.2481 0.9056 B
0.7795 0.7519 0.0945 B
0.7795 0.2519 0.9056 B
0.7205 0.2519 0.4056 B
0.7205 0.7519 0.5944 B
0.4211 0.4531 0.1710 Pb
0.5789 0.5469 0.8290 Pb
0.5789 0.0469 0.1710 Pb
0.0789 0.4531 0.6710 Pb
0.4211 0.9531 0.8290 Pb
0.9211 0.5469 0.3290 Pb
0.0789 0.9531 0.3290 Pb
0.9211 0.0469 0.6710 Pb
0.6685 0.1125 0.3920 O
0.3273 0.6870 0.1950 O
0.1685 0.8875 0.1080 O
0.3315 0.8875 0.6080 O
0.1627 0.1703 0.0158 O
0.3315 0.3875 0.3920 O
0.6685 0.6125 0.6080 O
0.5957 0.0710 0.6573 O
0.0957 0.9290 0.8427 O
0.1685 0.3875 0.8920 O
0.1727 0.6870 0.6950 O
0.9043 0.0710 0.1573 O
0.3373 0.1703 0.5158 O
0.6727 0.3130 0.8050 O
0.8273 0.8130 0.6950 O
0.8273 0.3130 0.3050 O
0.6727 0.8130 0.1950 O
0.9043 0.5710 0.8427 O
0.3273 0.1870 0.8050 O
0.3373 0.6703 0.4842 O
0.4043 0.9290 0.3427 O
0.1627 0.6703 0.9842 O
0.6627 0.3297 0.5158 O
0.6627 0.8297 0.4842 O
0.8315 0.6125 0.1080 O
0.1727 0.1870 0.3050 O
0.8373 0.8297 0.9842 O
0.4043 0.4290 0.6573 O
0.0957 0.4290 0.1573 O
0.8373 0.3297 0.0158 O
0.8315 0.1125 0.8920 O
0.5957 0.5710 0.3427 O
```

## Properties
- Magnetic moment: 0.00 μB/f.u.
- Energy relative to the elements, uncorrected: -2.32 eV per atom
- Mass density: 5.99 g/cm3

***

Look up the magnetic moment of the first one. 0.00 μB/f.u.

***

What is the formula in the second record? AlBPbO4

***

Please write out number 2 again, unchanged.
Density functional theory data (PBE-GGA) for a geometry-optimized AlBPbO4 structure.

Geometry as POSCAR:
```
AlBPbO4
1.0
-0.6140 -6.3536 -3.3746
9.4577 -0.2819 -1.1899
0.9547 -4.7163 8.7061
Al B Pb O
8 8 8 32
Direct
0.5000 0.0000 0.5000 Al
0.0000 0.2500 0.1655 Al
0.0000 0.7500 0.8345 Al
0.5000 0.2500 0.6655 Al
0.0000 0.0000 0.0000 Al
0.5000 0.7500 0.3345 Al
0.5000 0.5000 0.5000 Al
0.0000 0.5000 0.0000 Al
0.2205 0.7481 0.0945 B
0.2795 0.7481 0.5944 B
0.2795 0.2481 0.4056 B
0.2205 0.2481 0.9056 B
0.7795 0.7519 0.0945 B
0.7795 0.2519 0.9056 B
0.7205 0.2519 0.4056 B
0.7205 0.7519 0.5944 B
0.4211 0.4531 0.1710 Pb
0.5789 0.5469 0.8290 Pb
0.5789 0.0469 0.1710 Pb
0.0789 0.4531 0.6710 Pb
0.4211 0.9531 0.8290 Pb
0.9211 0.5469 0.3290 Pb
0.0789 0.9531 0.3290 Pb
0.9211 0.0469 0.6710 Pb
0.6685 0.1125 0.3920 O
0.3273 0.6870 0.1950 O
0.1685 0.8875 0.1080 O
0.3315 0.8875 0.6080 O
0.1627 0.1703 0.0158 O
0.3315 0.3875 0.3920 O
0.6685 0.6125 0.6080 O
0.5957 0.0710 0.6573 O
0.0957 0.9290 0.8427 O
0.1685 0.3875 0.8920 O
0.1727 0.6870 0.6950 O
0.9043 0.0710 0.1573 O
0.3373 0.1703 0.5158 O
0.6727 0.3130 0.8050 O
0.8273 0.8130 0.6950 O
0.8273 0.3130 0.3050 O
0.6727 0.8130 0.1950 O
0.9043 0.5710 0.8427 O
0.3273 0.1870 0.8050 O
0.3373 0.6703 0.4842 O
0.4043 0.9290 0.3427 O
0.1627 0.6703 0.9842 O
0.6627 0.3297 0.5158 O
0.6627 0.8297 0.4842 O
0.8315 0.6125 0.1080 O
0.1727 0.1870 0.3050 O
0.8373 0.8297 0.9842 O
0.4043 0.4290 0.6573 O
0.0957 0.4290 0.1573 O
0.8373 0.3297 0.0158 O
0.8315 0.1125 0.8920 O
0.5957 0.5710 0.3427 O
```

## Properties
- Magnetic moment: 0.00 μB/f.u.
- Energy relative to the elements, uncorrected: -2.32 eV per atom
- Mass density: 5.99 g/cm3

***

Which value of mass density does entry 2 give? 5.99 g/cm3